# DyYGa4Ir2

A relaxed DyYGa4Ir2 crystal (PBE-GGA, OQMD via LeMat-Bulk).

Computed properties:
Mass density   10.14 g/cm³
Total moment   0.028 Bohr magnetons per cell

Lattice parameters (Å, degrees): 6.927 4.254 10.162 90.00 90.00 90.00
Space group Amm2 (No. 38)
Asymmetric unit:
Dy (0.000, 0.000, 0.000) [2 per cell]
Y (0.500, 0.000, 0.848) [2 per cell]
Ga (0.197, 0.000, 0.283) [4 per cell]
Ga (0.303, 0.000, 0.564) [4 per cell]
Ir (0.000, 0.000, 0.714) [2 per cell]
Ir (0.500, 0.000, 0.133) [2 per cell]

***

# LuFePt2

A relaxed LuFePt2 crystal (PBE-GGA, OQMD via LeMat-Bulk).

Computed properties:
Mass density   15.37 g/cm³
Total moment   11.885 Bohr magnetons per cell

Lattice parameters (Å, degrees): 6.450 6.450 6.450 90.00 90.00 90.00
Space group F-43m (No. 216)
Asymmetric unit:
Lu (0.000, 0.000, 0.000) [4 per cell]
Fe (0.250, 0.250, 0.250) [4 per cell]
Pt (0.000, 0.000, 0.500) [4 per cell]
Pt (0.250, 0.250, 0.750) [4 per cell]

***

# NaPmPb

A relaxed NaPmPb crystal (PBE-GGA, OQMD via LeMat-Bulk).

Computed properties:
Mass density   6.11 g/cm³
Offset from the most stable computed form   0.0 kJ per mole of atoms
Total moment   0.001 Bohr magnetons per cell

Lattice parameters (Å, degrees): 7.414 7.414 7.414 90.00 90.00 90.00
Space group F-43m (No. 216)
Asymmetric unit:
Na (0.000, 0.000, 0.000) [4 per cell]
Pm (0.000, 0.000, 0.500) [4 per cell]
Pb (0.250, 0.250, 0.250) [4 per cell]

***

# Cd2Sn2Sb3P

A relaxed Cd2Sn2Sb3P crystal (PBE-GGA, OQMD via LeMat-Bulk).

Computed properties:
Mass density   5.38 g/cm³

Lattice parameters (Å, degrees): 14.135 6.493 6.433 90.00 116.26 90.00
Space group C2 (No. 5)
Asymmetric unit:
Cd (0.113, 0.000, 0.342) [4 per cell]
Sn (0.122, 0.463, 0.886) [4 per cell]
Sb (0.000, 0.726, 0.500) [2 per cell]
Sb (0.249, 0.726, 0.260) [4 per cell]
P (0.000, 0.240, 0.000) [2 per cell]

***

# PuZn

A relaxed PuZn crystal (PBE-GGA, OQMD via LeMat-Bulk).

Computed properties:
Mass density   12.50 g/cm³
Total moment   55.360 Bohr magnetons per cell

Lattice parameters (Å, degrees): 4.748 15.363 5.635 90.00 90.00 90.00
Space group Amm2 (No. 38)
Asymmetric unit:
Pu (0.000, 0.000, 0.000) [2 per cell]
Pu (0.000, 0.191, 0.035) [4 per cell]
Pu (0.500, 0.191, 0.737) [4 per cell]
Zn (0.000, 0.098, 0.514) [4 per cell]
Zn (0.500, 0.000, 0.630) [2 per cell]
Zn (0.500, 0.098, 0.244) [4 per cell]

***

# Nb4AsAuN2

A relaxed Nb4AsAuN2 crystal (PBE-GGA, OQMD via LeMat-Bulk).

Computed properties:
Mass density   9.47 g/cm³
Total moment   0.001 Bohr magnetons per cell

Lattice parameters (Å, degrees): 3.2737 3.2737 12.6879 90.00 90.00 120.00
Space group P-6m2 (No. 187)
Asymmetric unit:
Nb (0.0000, 0.0000, 0.1488) [2 per cell]
Nb (0.3333, 0.6667, 0.3249) [2 per cell]
As (0.3333, 0.6667, 0.0000) [1 per cell]
Au (0.0000, 0.0000, 0.5000) [1 per cell]
N (0.6667, 0.3333, 0.2440) [2 per cell]

***

# HfSc2

A relaxed HfSc2 crystal (PBE-GGA, OQMD via LeMat-Bulk).

Computed properties:
Mass density   2.55 g/cm³
Total moment   0.296 Bohr magnetons per cell

Lattice parameters (Å, degrees): 11.185 11.185 11.185 90.00 90.00 90.00
Space group Fd-3m (No. 227, origin choice 2)
Asymmetric unit:
Hf (0.125, 0.125, 0.125) [8 per cell]
Sc (0.000, 0.000, 0.000) [16 per cell]

***

# PrSm2Ni3Pt6

A relaxed PrSm2Ni3Pt6 crystal (PBE-GGA, OQMD via LeMat-Bulk).

Computed properties:
Mass density   13.89 g/cm³
Total moment   3.161 Bohr magnetons per cell

Lattice parameters (Å, degrees): 5.4264 5.4264 25.1493 90.00 90.00 120.00
Space group R-3m (No. 166, hexagonal axes)
Asymmetric unit:
Pr (0.0000, 0.0000, 0.0000) [3 per cell]
Sm (0.0000, 0.0000, 0.1405) [6 per cell]
Ni (0.0000, 0.0000, 0.3330) [6 per cell]
Ni (0.0000, 0.0000, 0.5000) [3 per cell]
Pt (0.0010, 0.5005, 0.9168) [18 per cell]

***

# Mo4W2Au3C3

A relaxed Mo4W2Au3C3 crystal (PBE-GGA, OQMD via LeMat-Bulk).

Computed properties:
Mass density   13.40 g/cm³
Total moment   0.006 Bohr magnetons per cell

Lattice parameters (Å, degrees): 9.338 5.387 13.938 90.00 102.90 90.00
Space group C2/c (No. 15)
Asymmetric unit:
Mo (0.111, 0.077, 0.082) [8 per cell]
Mo (0.220, 0.088, 0.418) [8 per cell]
W (0.060, 0.414, 0.919) [8 per cell]
Au (0.000, 0.091, 0.750) [4 per cell]
Au (0.162, 0.421, 0.248) [8 per cell]
C (0.081, 0.255, 0.500) [8 per cell]
C (0.250, 0.250, 0.000) [4 per cell]

***

# CsNbNO

A relaxed CsNbNO crystal (PBE-GGA, OQMD via LeMat-Bulk).

Computed properties:
Mass density   4.90 g/cm³
Offset from the most stable computed form   90.9 kJ per mole of atoms
Total moment   0.004 Bohr magnetons per cell

Lattice parameters (Å, degrees): 3.985 3.985 10.914 90.00 90.00 90.00
Space group P4/nmm (No. 129, origin choice 2)
Asymmetric unit:
Cs (0.250, 0.250, 0.174) [2 per cell]
Nb (0.250, 0.750, 0.500) [2 per cell]
N (0.250, 0.250, 0.562) [2 per cell]
O (0.250, 0.750, 0.000) [2 per cell]

***

no.,total DFT energy (no corrections) (eV/atom)
1,-5.865
2,-6.743
3,-3.489
4,-3.492
5,-7.722
6,-8.760
7,-4.758
8,-6.415
9,-8.817
10,-6.257